1.
Here is a relaxed structure of KPdCl from Alexandria. Energies are from GGA-PBE.

Results
Magnetization in μB per atom: 0.00
Uncorrected formation energy in meV per atom: -548
Distance to the lowest polymorph of the same formula in eV/atom: 0.270
E in eV/atom: -3.260

Lattice parameters (Å, degrees): 9.039 9.497 4.621 90.00 90.00 90.00
Space group Imma (No. 74)
One atom of each set of equivalent atoms:
K  0.000  0.000  0.000 [4 per cell]
Pd  0.000  0.250  0.406 [4 per cell]
Cl  0.250  0.250  0.250 [4 per cell]


2.
Here is a relaxed structure of Pm3NdTm3 from Alexandria. Energies are from GGA-PBE.

Results
Magnetization in μB per atom: 0.00
Distance to the lowest polymorph of the same formula in eV/atom: 0.000
E in eV/atom: -4.438

Lattice parameters (Å, degrees): 8.6710 8.6710 22.0173 90.00 90.00 120.00
Space group R-3 (No. 148, hexagonal axes)
One atom of each set of equivalent atoms:
Pm  0.0486  0.6008  0.3808 [18 per cell]
Nd  0.0000  0.0000  0.1551 [6 per cell]
Tm  0.0051  0.7750  0.5583 [18 per cell]


3.
Here is a relaxed structure of Tb7Y2Mg from Alexandria. Energies are from GGA-PBE.

Results
Magnetization in μB per atom: 0.00
E in eV/atom: -4.027

Lattice parameters (Å, degrees): 8.640 16.566 5.353 90.00 90.00 90.00
Space group Cmmm (No. 65)
One atom of each set of equivalent atoms:
Tb  0.000  0.000  0.000 [2 per cell]
Tb  0.000  0.298  0.500 [4 per cell]
Tb  0.178  0.394  0.000 [8 per cell]
Y  0.000  0.207  0.000 [4 per cell]
Mg  0.000  0.500  0.500 [2 per cell]


4.
Here is a relaxed structure of PrNd2ErS4 from Alexandria. Energies are from GGA-PBE.

Results
Magnetization in μB per atom: 0.00
Uncorrected formation energy in meV per atom: -1998
E in eV/atom: -6.421

Lattice parameters (Å, degrees): 6.993 3.979 7.034 90.00 108.82 90.00
Space group P2/m (No. 10)
One atom of each set of equivalent atoms:
Pr  0.000  0.000  0.000 [1 per cell]
Nd  0.500  0.000  0.500 [1 per cell]
Nd  0.500  0.500  0.000 [1 per cell]
Er  0.000  0.500  0.500 [1 per cell]
S  0.237  0.000  0.735 [2 per cell]
S  0.245  0.500  0.259 [2 per cell]